Entry 1:
DFT (PBEsol) results for crystalline Rb2HfPtAu at its relaxed geometry.

Computed properties:
The calculation puts the total energy at -3.58 eV per atom. For the formation enthalpy at 0 K, the calculation gives 1107 meV/atom.

Cell: 5.8475 5.8475 5.2295 Å, 90.00 90.00 90.00°
Closest atoms and distances in Å follow each position.
Space group P4/mmm (No. 123)
One atom of each set of equivalent atoms:
Rb (0.0000, 0.5000, 0.0000) (multiplicity 2)  2 Au 2.92
Hf (0.0000, 0.0000, 0.5000) (multiplicity 1)  2 Au 2.61
Pt (0.5000, 0.5000, 0.5000) (multiplicity 1)  8 Rb 3.92, 4 Hf 4.13
Au (0.0000, 0.0000, 0.0000) (multiplicity 1)  2 Hf 2.61, 4 Rb 2.92


Entry 2:
DFT (PBEsol) results for crystalline RbHf2Au2 at its relaxed geometry.

Computed properties:
The calculation puts the total energy at -5.87 eV per atom. For the formation enthalpy at 0 K, the calculation gives 107 meV/atom.

Cell: 4.7316 4.7316 11.1747 Å, 90.00 90.00 90.00°
Closest atoms and distances in Å follow each position.
Space group I4/mmm (No. 139)
One atom of each set of equivalent atoms:
Rb (0.0000, 0.0000, 0.0000) (multiplicity 2)  8 Au 3.63, 8 Hf 3.66
Hf (0.0000, 0.5000, 0.2500) (multiplicity 4)  4 Au 2.74
Au (0.0000, 0.0000, 0.3732) (multiplicity 4)  4 Hf 2.74, 1 Au 2.83


Entry 3:
DFT (PBEsol) results for crystalline RbHfScAu2 at its relaxed geometry.

Computed properties:
The calculation puts the total energy at -4.25 eV per atom. For the formation enthalpy at 0 K, the calculation gives 943 meV/atom.

Cell: 5.1042 5.1042 5.3857 Å, 90.00 90.00 90.00°
Closest atoms and distances in Å follow each position.
Space group P4/mmm (No. 123)
One atom of each set of equivalent atoms:
Rb (0.0000, 0.0000, 0.0000) (multiplicity 1)  2 Hf 2.69
Hf (0.0000, 0.0000, 0.5000) (multiplicity 1)  4 Au 2.55, 2 Rb 2.69
Sc (0.5000, 0.5000, 0.0000) (multiplicity 1)  4 Rb 3.61, 8 Au 3.71
Au (0.0000, 0.5000, 0.5000) (multiplicity 2)  2 Hf 2.55


- formation enthalpy at 0 K of number 3 (RbHfScAu2)?
  943 meV/atom


- formation enthalpy at 0 K of number 2 (RbHf2Au2)?
  107 meV/atom


- Among the records above, which one has the lowest formation enthalpy at 0 K?
  RbHf2Au2